# Ce2HoScTe5

A relaxed Ce2HoScTe5 crystal (PBE, Alexandria via LeMat-Bulk).

```
9
Lattice="5.535 0.000 0.000 0.000 5.535 0.000 0.000 0.000 11.194" Properties=species:S:1:pos:R:3 pbc="T T T"
Sc 0.000 0.000 0.000
Te 0.000 2.767 5.597
Te 0.000 0.000 8.527
Te 2.767 2.767 0.000
Te 2.767 0.000 5.597
Te 0.000 0.000 2.667
Ho 0.000 0.000 5.597
Ce 2.767 2.767 7.778
Ce 2.767 2.767 3.416
```

Calculated values
For the total magnetization, the calculation gives 0.409 μB/atom. The density of states at the Fermi level is 20.92 states/eV/f.u. The total energy comes out at -5.057 eV per atom. For the uncorrected formation energy, the calculation gives -0.781 eV/atom. Its space group is P4/mmm (123).